No. 1
# Y3ZnSn, relaxed, DFT GGA-PBE
data_Y3ZnSn
_cell_length_a 5.3435
_cell_length_b 5.3435
_cell_length_c 5.3435
_cell_angle_alpha 90.00
_cell_angle_beta 90.00
_cell_angle_gamma 90.00
_symmetry_space_group_name_H-M 'P 1'
_symmetry_Int_Tables_number 1
loop_
_symmetry_equiv_pos_as_xyz
'x,y,z'
loop_
_atom_site_label
_atom_site_type_symbol
_atom_site_fract_x
_atom_site_fract_y
_atom_site_fract_z
Y1 Y 0.0000 0.0000 0.5000
Y2 Y 0.0000 0.5000 0.0000
Y3 Y 0.5000 0.0000 0.0000
Zn1 Zn 0.0000 0.0000 0.0000
Sn1 Sn 0.5000 0.5000 0.5000
# **Energy relative to the lowest polymorph listed for this composition**: 0.000 eV per atom
# **Crystal system**: cubic
# **Electronic total energy**: -25.3 eV/cell
# **Energy relative to the elements**: -0.117 eV per atom


No. 2
# YZn2Sn2, relaxed, DFT GGA-PBE
data_YZn2Sn2
_cell_length_a 11.5220
_cell_length_b 11.5220
_cell_length_c 4.3817
_cell_angle_alpha 90.00
_cell_angle_beta 90.00
_cell_angle_gamma 158.11
_symmetry_space_group_name_H-M 'P 1'
_symmetry_Int_Tables_number 1
loop_
_symmetry_equiv_pos_as_xyz
'x,y,z'
loop_
_atom_site_label
_atom_site_type_symbol
_atom_site_fract_x
_atom_site_fract_y
_atom_site_fract_z
Y1 Y 0.1400 0.8600 0.7500
Y2 Y 0.8600 0.1400 0.2500
Zn1 Zn 0.0319 0.9681 0.2500
Zn2 Zn 0.4630 0.5370 0.2500
Zn3 Zn 0.5370 0.4630 0.7500
Zn4 Zn 0.9681 0.0319 0.7500
Sn1 Sn 0.2506 0.7494 0.2500
Sn2 Sn 0.3816 0.6184 0.7500
Sn3 Sn 0.6184 0.3816 0.2500
Sn4 Sn 0.7494 0.2506 0.7500
# **Energy relative to the lowest polymorph listed for this composition**: 0.000 eV per atom
# **Crystal system**: orthorhombic
# **Electronic total energy**: -37.6 eV/cell
# **Energy relative to the elements**: -0.359 eV per atom